<i>
This record from Alexandria describes a geometry-optimized CePrP2 structure. The functional is GGA-PBE.

POSCAR file:
```
CePrP2
1.0
2.036 1.176 7.161
-2.036 1.176 7.161
0.000 -2.351 7.161
Ce Pr P
1 1 2
direct
0.000 0.000 0.000
0.172 0.172 0.172
0.587 0.587 0.587
0.751 0.751 0.751
```

The calculation puts the density of states at the Fermi level at 1.56 states/eV per atom.

***

<ii>
This record from Alexandria describes a geometry-optimized CePrP2 structure. The functional is GGA-PBE.

POSCAR file:
```
CePrP2
1.0
2.071 1.196 6.772
-2.071 1.196 6.772
0.000 -2.392 6.772
Ce Pr P
1 1 2
direct
0.000 0.000 0.000
0.500 0.500 0.500
0.253 0.253 0.253
0.747 0.747 0.747
```

The calculation puts the density of states at the Fermi level at 1.18 states/eV per atom.

***

Which of them is most stable? Easy: <ii>.

***

<i>
This record from Alexandria describes a geometry-optimized CeP2Pt4 structure. The functional is GGA-PBE.

POSCAR file:
```
CeP2Pt4
1.0
7.408 0.000 0.000
0.000 4.161 0.000
0.000 0.000 15.682
Ce P Pt
4 8 16
direct
0.150 0.250 0.180
0.350 0.750 0.680
0.650 0.250 0.320
0.850 0.750 0.820
0.188 0.250 0.808
0.209 0.250 0.557
0.291 0.750 0.057
0.312 0.750 0.308
0.688 0.250 0.692
0.709 0.250 0.943
0.791 0.750 0.443
0.812 0.750 0.192
0.019 0.250 0.683
0.025 0.250 0.941
0.129 0.750 0.498
0.238 0.250 0.374
0.262 0.750 0.874
0.371 0.250 0.998
0.475 0.750 0.441
0.481 0.750 0.183
0.519 0.250 0.817
0.525 0.250 0.559
0.629 0.750 0.002
0.738 0.250 0.126
0.762 0.750 0.626
0.871 0.250 0.502
0.975 0.750 0.059
0.981 0.750 0.317
```

The calculation puts the density of states at the Fermi level at 0.93 states/eV per atom.

***

<ii>
This record from Alexandria describes a geometry-optimized CeP2Pt4 structure. The functional is GGA-PBE.

POSCAR file:
```
CeP2Pt4
1.0
7.799 0.000 0.000
0.000 7.799 0.000
0.000 0.000 3.879
Ce P Pt
2 4 8
direct
0.000 0.000 0.000
0.500 0.500 0.500
0.227 0.227 0.500
0.273 0.727 0.000
0.727 0.273 0.000
0.773 0.773 0.500
0.067 0.685 0.500
0.185 0.433 0.000
0.315 0.933 0.500
0.433 0.185 0.000
0.567 0.815 0.000
0.685 0.067 0.500
0.815 0.567 0.000
0.933 0.315 0.500
```

The calculation puts the density of states at the Fermi level at 1.08 states/eV per atom.

***

Which of them is most stable? Easy: <i>.

***

<i>
This record from Alexandria describes a geometry-optimized Ce2PuP structure. The functional is GGA-PBE.

POSCAR file:
```
Ce2PuP
1.0
1.887 1.089 8.532
-1.887 1.089 8.532
0.000 -2.179 8.532
Ce Pu P
2 1 1
direct
0.000 0.000 0.000
0.195 0.195 0.195
0.770 0.770 0.770
0.597 0.597 0.597
```

The calculation puts the density of states at the Fermi level at 2.89 states/eV per atom.

***

<ii>
This record from Alexandria describes a geometry-optimized Ce2PuP structure. The functional is GGA-PBE.

POSCAR file:
```
Ce2PuP
1.0
4.514 0.000 0.000
0.000 4.514 0.000
0.000 0.000 4.354
Ce Pu P
2 1 1
direct
0.000 0.500 0.000
0.500 0.000 0.000
0.000 0.000 0.500
0.500 0.500 0.500
```

The calculation puts the density of states at the Fermi level at 1.99 states/eV per atom.

***

<iii>
This record from Alexandria describes a geometry-optimized Ce2PuP structure. The functional is GGA-PBE.

POSCAR file:
```
Ce2PuP
1.0
1.855 1.071 9.390
-1.855 1.071 9.390
0.000 -2.142 9.390
Ce Pu P
2 1 1
direct
0.104 0.104 0.104
0.896 0.896 0.896
0.000 0.000 0.000
0.500 0.500 0.500
```

The calculation puts the density of states at the Fermi level at 3.31 states/eV per atom.

***

Which of them is most stable? Easy: <ii>.

***

<i>
This record from Alexandria describes a geometry-optimized Ce2PRh3 structure. The functional is GGA-PBE.

POSCAR file:
```
Ce2PRh3
1.0
2.775 1.602 3.902
-2.775 1.602 3.902
0.000 -3.204 3.902
Ce P Rh
2 1 3
direct
0.121 0.121 0.121
0.879 0.879 0.879
0.500 0.500 0.500
0.000 0.500 0.500
0.500 0.000 0.500
0.500 0.500 0.000
```

The calculation puts the density of states at the Fermi level at 1.03 states/eV per atom.

***

<ii>
This record from Alexandria describes a geometry-optimized Ce2PRh3 structure. The functional is GGA-PBE.

POSCAR file:
```
Ce2PRh3
1.0
3.767 0.000 0.000
0.000 4.020 0.000
0.000 0.000 7.775
Ce P Rh
2 1 3
direct
0.000 0.000 0.000
0.000 0.500 0.495
0.500 0.000 0.327
0.500 0.000 0.629
0.500 0.500 0.181
0.500 0.500 0.843
```

The calculation puts the density of states at the Fermi level at 0.96 states/eV per atom.

***

Which of them is most stable? Easy: <i>.

***

<i>
This record from Alexandria describes a geometry-optimized Ce3P2Rh7 structure. The functional is GGA-PBE.

POSCAR file:
```
Ce3P2Rh7
1.0
-1.990 1.990 13.255
1.990 -1.990 13.255
1.990 1.990 -13.255
Ce P Rh
3 2 7
direct
0.000 0.000 0.000
0.174 0.174 0.000
0.826 0.826 0.000
0.372 0.372 0.000
0.628 0.628 0.000
0.082 0.582 0.500
0.284 0.284 0.000
0.418 0.918 0.500
0.500 0.500 0.000
0.582 0.082 0.500
0.716 0.716 0.000
0.918 0.418 0.500
```

The calculation puts the density of states at the Fermi level at 0.78 states/eV per atom.

***

<ii>
This record from Alexandria describes a geometry-optimized Ce3P2Rh7 structure. The functional is GGA-PBE.

POSCAR file:
```
Ce3P2Rh7
1.0
2.020 -12.941 0.000
2.020 12.941 0.000
0.000 0.000 4.018
Ce P Rh
3 2 7
direct
0.000 0.000 0.000
0.178 0.822 0.000
0.822 0.178 0.000
0.371 0.629 0.500
0.629 0.371 0.500
0.083 0.917 0.500
0.283 0.717 0.500
0.417 0.583 0.000
0.500 0.500 0.500
0.583 0.417 0.000
0.717 0.283 0.500
0.917 0.083 0.500
```

The calculation puts the density of states at the Fermi level at 0.88 states/eV per atom.

***

Which of them is most stable? Easy: <ii>.

***

<i>
This record from Alexandria describes a geometry-optimized Ce2PRu structure. The functional is GGA-PBE.

POSCAR file:
```
Ce2PRu
1.0
4.045 -8.005 0.000
4.045 8.005 0.000
-3.828 0.000 5.733
Ce P Ru
8 4 4
direct
0.060 0.437 0.746
0.174 0.298 0.242
0.298 0.174 0.742
0.437 0.060 0.246
0.563 0.940 0.754
0.702 0.826 0.258
0.826 0.702 0.758
0.940 0.563 0.254
0.319 0.681 0.250
0.442 0.558 0.750
0.558 0.442 0.250
0.681 0.319 0.750
0.074 0.926 0.250
0.198 0.802 0.750
0.802 0.198 0.250
0.926 0.074 0.750
```

The calculation puts the density of states at the Fermi level at 1.46 states/eV per atom.

***

<ii>
This record from Alexandria describes a geometry-optimized Ce2PRu structure. The functional is GGA-PBE.

POSCAR file:
```
Ce2PRu
1.0
1.827 1.055 8.437
-1.827 1.055 8.437
0.000 -2.110 8.437
Ce P Ru
2 1 1
direct
0.095 0.095 0.095
0.905 0.905 0.905
0.500 0.500 0.500
0.000 0.000 0.000
```

The calculation puts the density of states at the Fermi level at 1.25 states/eV per atom.

***

<iii>
This record from Alexandria describes a geometry-optimized Ce2PRu structure. The functional is GGA-PBE.

POSCAR file:
```
Ce2PRu
1.0
1.937 1.118 7.116
-1.937 1.118 7.116
0.000 -2.237 7.116
Ce P Ru
2 1 1
direct
0.000 0.000 0.000
0.166 0.166 0.166
0.583 0.583 0.583
0.413 0.413 0.413
```

The calculation puts the density of states at the Fermi level at 1.39 states/eV per atom.

***

Which of them is most stable? Easy: <i>.

***

<i>
This record from Alexandria describes a geometry-optimized CeP2Ru4 structure. The functional is GGA-PBE.

POSCAR file:
```
CeP2Ru4
1.0
7.542 0.000 0.000
0.000 7.542 0.000
0.000 0.000 3.798
Ce P Ru
2 4 8
direct
0.000 0.000 0.000
0.500 0.500 0.500
0.226 0.226 0.500
0.274 0.726 0.000
0.726 0.274 0.000
0.774 0.774 0.500
0.074 0.662 0.500
0.162 0.426 0.000
0.338 0.926 0.500
0.426 0.162 0.000
0.574 0.838 0.000
0.662 0.074 0.500
0.838 0.574 0.000
0.926 0.338 0.500
```

The calculation puts the density of states at the Fermi level at 1.15 states/eV per atom.

***

<ii>
This record from Alexandria describes a geometry-optimized CeP2Ru4 structure. The functional is GGA-PBE.

POSCAR file:
```
CeP2Ru4
1.0
-1.934 1.934 8.511
1.934 -1.934 8.511
1.934 1.934 -8.511
Ce P Ru
1 2 4
direct
0.000 0.000 0.000
0.334 0.334 0.000
0.666 0.666 0.000
0.131 0.131 0.000
0.250 0.750 0.500
0.750 0.250 0.500
0.869 0.869 0.000
```

The calculation puts the density of states at the Fermi level at 1.28 states/eV per atom.

***

Which of them is most stable? Easy: <i>.

***

<i>
This record from Alexandria describes a geometry-optimized Ce2ScP structure. The functional is GGA-PBE.

POSCAR file:
```
Ce2ScP
1.0
1.817 1.049 9.714
-1.817 1.049 9.714
0.000 -2.098 9.714
Ce Sc P
2 1 1
direct
0.105 0.105 0.105
0.895 0.895 0.895
0.000 0.000 0.000
0.500 0.500 0.500
```

The calculation puts the density of states at the Fermi level at 2.40 states/eV per atom.

***

<ii>
This record from Alexandria describes a geometry-optimized Ce2ScP structure. The functional is GGA-PBE.

POSCAR file:
```
Ce2ScP
1.0
1.869 1.079 9.027
-1.869 1.079 9.027
0.000 -2.158 9.027
Ce Sc P
2 1 1
direct
0.000 0.000 0.000
0.202 0.202 0.202
0.435 0.435 0.435
0.601 0.601 0.601
```

The calculation puts the density of states at the Fermi level at 2.32 states/eV per atom.

***

Which of them is most stable? Easy: <ii>.